1.
A plane-wave DFT calculation with GGA-PBE was carried out for a relaxed structure of CaMg4Hg5.

* DOS at the Fermi energy: 3.6 states/eV per cell
* final energy: -1.285 eV/atom
* calculated density: 8.4 Mg/m³
* DFT formation energy: -296 meV/atom

a b c (Å): 3.5718 3.5718 17.6130
angles (deg): 90.00 90.00 90.00
Space group P4/mmm (No. 123)
One atom of each set of equivalent atoms:
Ca1 0.0000 0.0000 0.0000
Mg1 0.0000 0.0000 0.2118
Mg2 0.0000 0.0000 0.4030
Hg1 0.5000 0.5000 0.1147
Hg2 0.5000 0.5000 0.3076
Hg3 0.5000 0.5000 0.5000

=====

2.
A plane-wave DFT calculation with GGA-PBE was carried out for a relaxed structure of CeGa3Rh3.

* polymorph energy (0 for the lowest one): 0.000 eV per atom
* DOS at the Fermi energy: 33.2 states/eV per cell
* final energy: -5.910 eV/atom
* calculated density: 9.1 Mg/m³
* DFT formation energy: -614 meV/atom

a b c (Å): 6.6612 6.6612 18.8500
angles (deg): 90.00 90.00 120.00
Space group R-3 (No. 148, hexagonal axes)
One atom of each set of equivalent atoms:
Ce1 0.0000 0.0000 0.1591
Ga1 0.0342 0.6185 0.3717
Rh1 0.0131 0.7572 0.5669

=====

3.
A plane-wave DFT calculation with GGA-PBE was carried out for a relaxed structure of Y2TiTc.

* polymorph energy (0 for the lowest one): 0.000 eV per atom
* DOS at the Fermi energy: 43.3 states/eV per cell
* final energy: -7.495 eV/atom
* calculated density: 6.1 Mg/m³
* DFT formation energy: 302 meV/atom

a b c (Å): 7.0535 7.0535 7.0535
angles (deg): 90.00 90.00 90.00
Space group Fm-3m (No. 225)
One atom of each set of equivalent atoms:
Y1 0.2500 0.2500 0.2500
Ti1 0.0000 0.0000 0.0000
Tc1 0.0000 0.0000 0.5000

=====

4.
A plane-wave DFT calculation with GGA-PBE was carried out for a relaxed structure of Pm2PtPbO5.

* DOS at the Fermi energy: 0.0 states/eV per cell
* final energy: -7.053 eV/atom
* calculated density: 9.5 Mg/m³
* E_form (uncorrected): -2.160 eV per atom

a b c (Å): 6.7466 6.7466 5.9121
angles (deg): 90.00 90.00 90.00
Space group P4/mbm (No. 127)
One atom of each set of equivalent atoms:
Pm1 0.1740 0.3260 0.0000
Pt1 0.0000 0.5000 0.5000
Pb1 0.0000 0.0000 0.5000
O1 0.0000 0.0000 0.0000
O2 0.1401 0.6401 0.2440

=====

5.
A plane-wave DFT calculation with GGA-PBE was carried out for a relaxed structure of Na4Sm3ThS8.

* DOS at the Fermi energy: 12.3 states/eV per cell
* final energy: -5.511 eV/atom
* calculated density: 4.5 Mg/m³
* E_form (uncorrected): -1.769 eV per atom

a b c (Å): 8.1284 8.1284 20.1514
angles (deg): 90.00 90.00 120.00
Space group R-3m (No. 166, hexagonal axes)
One atom of each set of equivalent atoms:
Na1 0.0000 0.0000 0.0000
Na2 0.0000 0.5000 0.0000
Sm1 0.0000 0.5000 0.5000
Th1 0.0000 0.0000 0.5000
S1 0.0000 0.0000 0.2445
S2 0.0024 0.5012 0.2448

=====

6.
A plane-wave DFT calculation with GGA-PBE was carried out for a relaxed structure of RbCo2TePd.

* DOS at the Fermi energy: 1.0 states/eV per cell
* final energy: -3.720 eV/atom
* calculated density: 4.8 Mg/m³
* E_form (uncorrected): 0.983 eV per atom

a b c (Å): 4.7539 4.7539 6.6578
angles (deg): 90.00 90.00 90.00
Space group P4/mmm (No. 123)
One atom of each set of equivalent atoms:
Rb1 0.0000 0.0000 0.0000
Co1 0.0000 0.5000 0.5000
Te1 0.0000 0.0000 0.5000
Pd1 0.5000 0.5000 0.0000

=====

7.
A plane-wave DFT calculation with GGA-PBE was carried out for a relaxed structure of TiNb3Cl.

* polymorph energy (0 for the lowest one): 0.000 eV per atom
* DOS at the Fermi energy: 4.5 states/eV per cell
* final energy: -7.446 eV/atom
* calculated density: 6.3 Mg/m³
* E_form (uncorrected): 0.544 eV per atom

a b c (Å): 4.5670 4.5670 4.5670
angles (deg): 90.00 90.00 90.00
Space group Pm-3m (No. 221)
One atom of each set of equivalent atoms:
Ti1 0.0000 0.0000 0.0000
Nb1 0.0000 0.5000 0.5000
Cl1 0.5000 0.5000 0.5000

=====

8.
A plane-wave DFT calculation with GGA-PBE was carried out for a relaxed structure of HoMgScHg.

* polymorph energy (0 for the lowest one): 0.000 eV per atom
* DOS at the Fermi energy: 4.5 states/eV per cell
* final energy: -3.457 eV/atom
* calculated density: 7.5 Mg/m³
* DFT formation energy: -255 meV/atom

a b c (Å): 3.6688 3.6688 7.1724
angles (deg): 90.00 90.00 90.00
Space group P4mm (No. 99)
One atom of each set of equivalent atoms:
Ho1 0.0000 0.0000 0.0000
Mg1 0.5000 0.5000 0.7260
Sc1 0.0000 0.0000 0.4920
Hg1 0.5000 0.5000 0.2652

=====

9.
A plane-wave DFT calculation with GGA-PBE was carried out for a relaxed structure of Li8Zn3Ag2.

* polymorph energy (0 for the lowest one): 0.052 eV per atom
* DOS at the Fermi energy: 5.5 states/eV per cell
* final energy: -1.976 eV/atom
* calculated density: 3.3 Mg/m³
* DFT formation energy: -65 meV/atom

a b c (Å): 12.0753 7.2990 5.2930
angles (deg): 90.00 96.07 90.00
Space group C2/m (No. 12)
One atom of each set of equivalent atoms:
Li1 0.0966 0.0000 0.3931
Li2 0.1198 0.1899 0.9380
Li3 0.1920 0.5000 0.3058
Zn1 0.0000 0.3243 0.5000
Zn2 0.0000 0.5000 0.0000
Ag1 0.2009 0.5000 0.7961